Record 1
Compound: NaCdGe3
Source: the Alexandria database
Functional: GGA-PBEsol
Structure: relaxed

a b c (Å): 4.966 4.966 4.966
angles (deg): 90.00 90.00 90.00
Fractional coordinates of all 5 atoms:
Na: 0.000 0.000 0.000
Cd: 0.500 0.500 0.500
Ge: 0.000 0.000 0.500
Ge: 0.000 0.500 0.000
Ge: 0.500 0.000 0.000

Computed properties:
Formation energy (eV/atom): 0.983
Theoretical density (g/cm3): 4.790
Symmetry: Pm-3m (221)

---

Record 2
Compound: Na2CdGe2S6
Source: the Alexandria database
Functional: GGA-PBEsol
Structure: relaxed

a b c (Å): 7.283 7.283 11.510
angles (deg): 94.50 94.50 120.07
Fractional coordinates of all 22 atoms:
Na: 0.009 0.991 0.500
Na: 0.192 0.594 0.865
Na: 0.594 0.192 0.365
Na: 0.991 0.009 0.000
Cd: 0.079 0.581 0.208
Cd: 0.581 0.079 0.708
Ge: 0.316 0.593 0.486
Ge: 0.593 0.316 0.986
Ge: 0.617 0.664 0.235
Ge: 0.664 0.617 0.735
S: 0.036 0.347 0.367
S: 0.313 0.448 0.653
S: 0.344 0.907 0.513
S: 0.347 0.036 0.867
S: 0.448 0.313 0.153
S: 0.462 0.837 0.180
S: 0.607 0.611 0.926
S: 0.611 0.607 0.426
S: 0.837 0.462 0.680
S: 0.850 0.960 0.726
S: 0.907 0.344 0.013
S: 0.960 0.850 0.226

Computed properties:
E_form (uncorrected) (meV per atom): -680
Theoretical density (g/cm3): 3.157
Symmetry: Cc (9)

---

Record 3
Compound: NbCd2GeSb
Source: the Alexandria database
Functional: GGA-PBEsol
Structure: relaxed

a b c (Å): 4.939 4.939 5.002
angles (deg): 90.00 90.00 90.00
Fractional coordinates of all 5 atoms:
Nb: 0.000 0.000 0.000
Cd: 0.000 0.500 0.500
Cd: 0.500 0.000 0.500
Ge: 0.000 0.000 0.500
Sb: 0.500 0.500 0.000

Computed properties:
E_form (uncorrected) (meV per atom): 687
Theoretical density (g/cm3): 6.970
Symmetry: P4/mmm (123)

---

Record 4
Compound: Nd6CdGe2S14
Source: the Alexandria database
Functional: GGA-PBEsol
Structure: relaxed

a b c (Å): 10.111 10.111 5.711
angles (deg): 90.00 90.00 120.00
Fractional coordinates of all 23 atoms:
Nd: 0.025 0.461 0.000
Nd: 0.309 0.206 0.495
Nd: 0.436 0.975 0.000
Nd: 0.539 0.564 0.000
Nd: 0.794 0.103 0.495
Nd: 0.897 0.691 0.495
Cd: 0.667 0.333 0.738
Ge: 0.000 0.000 0.075
Ge: 0.333 0.667 0.583
S: 0.000 0.000 0.694
S: 0.082 0.230 0.233
S: 0.148 0.918 0.233
S: 0.185 0.749 0.738
S: 0.251 0.436 0.738
S: 0.333 0.667 0.201
S: 0.408 0.240 0.978
S: 0.500 0.075 0.488
S: 0.564 0.815 0.738
S: 0.576 0.500 0.488
S: 0.760 0.168 0.978
S: 0.770 0.852 0.233
S: 0.832 0.592 0.978
S: 0.925 0.424 0.488

Computed properties:
E_form (uncorrected) (meV per atom): -1559
Theoretical density (g/cm3): 5.163
Symmetry: P3 (143)

---

Record 5
Compound: CdGe2O5
Source: the Alexandria database
Functional: GGA-PBEsol
Structure: relaxed

a b c (Å): 5.342 5.561 6.933
angles (deg): 105.44 101.69 107.29
Fractional coordinates of all 16 atoms:
Cd: 0.159 0.308 0.270
Cd: 0.841 0.692 0.730
Ge: 0.187 0.319 0.750
Ge: 0.500 0.000 0.000
Ge: 0.500 0.000 0.500
Ge: 0.813 0.681 0.250
O: 0.120 0.784 0.456
O: 0.210 0.129 0.915
O: 0.219 0.644 0.897
O: 0.410 0.053 0.248
O: 0.442 0.327 0.621
O: 0.558 0.673 0.379
O: 0.590 0.947 0.752
O: 0.781 0.356 0.103
O: 0.790 0.871 0.085
O: 0.880 0.216 0.544

Computed properties:
E_form (uncorrected) (meV per atom): -1551
Theoretical density (g/cm3): 6.215
Symmetry: P-1 (2)

---

Record 6
Compound: Cd5GeP2O12
Source: the Alexandria database
Functional: GGA-PBEsol
Structure: relaxed

a b c (Å): 6.817 10.278 15.024
angles (deg): 90.00 90.00 90.00
Fractional coordinates of all 80 atoms:
Cd: 0.077 0.165 0.363
Cd: 0.093 0.169 0.646
Cd: 0.104 0.551 0.653
Cd: 0.109 0.558 0.335
Cd: 0.194 0.221 0.992
Cd: 0.306 0.779 0.492
Cd: 0.391 0.442 0.835
Cd: 0.396 0.449 0.153
Cd: 0.407 0.831 0.146
Cd: 0.423 0.835 0.863
Cd: 0.577 0.335 0.637
Cd: 0.593 0.331 0.354
Cd: 0.604 0.949 0.347
Cd: 0.609 0.942 0.665
Cd: 0.694 0.279 0.008
Cd: 0.806 0.721 0.508
Cd: 0.891 0.058 0.165
Cd: 0.896 0.051 0.847
Cd: 0.907 0.669 0.854
Cd: 0.923 0.665 0.137
Ge: 0.099 0.863 0.324
Ge: 0.401 0.137 0.824
Ge: 0.599 0.637 0.676
Ge: 0.901 0.363 0.176
P: 0.110 0.875 0.687
P: 0.239 0.588 0.995
P: 0.261 0.412 0.495
P: 0.390 0.125 0.187
P: 0.610 0.625 0.313
P: 0.739 0.912 0.005
P: 0.761 0.088 0.505
P: 0.890 0.375 0.813
O: 0.016 0.619 0.993
O: 0.032 0.745 0.406
O: 0.068 0.470 0.798
O: 0.068 0.779 0.609
O: 0.082 0.482 0.194
O: 0.152 0.792 0.772
O: 0.157 0.764 0.233
O: 0.164 0.363 0.408
O: 0.169 0.354 0.580
O: 0.209 0.056 0.882
O: 0.220 0.031 0.163
O: 0.221 0.561 0.501
O: 0.279 0.439 0.001
O: 0.280 0.969 0.663
O: 0.291 0.944 0.382
O: 0.331 0.646 0.080
O: 0.336 0.637 0.908
O: 0.343 0.236 0.733
O: 0.348 0.208 0.272
O: 0.418 0.518 0.694
O: 0.432 0.221 0.109
O: 0.432 0.530 0.298
O: 0.468 0.255 0.906
O: 0.484 0.381 0.493
O: 0.516 0.881 0.007
O: 0.532 0.755 0.594
O: 0.568 0.030 0.202
O: 0.568 0.721 0.391
O: 0.582 0.018 0.806
O: 0.652 0.708 0.228
O: 0.657 0.736 0.767
O: 0.664 0.137 0.592
O: 0.669 0.146 0.420
O: 0.709 0.444 0.118
O: 0.720 0.469 0.837
O: 0.721 0.939 0.499
O: 0.779 0.061 0.999
O: 0.780 0.531 0.337
O: 0.791 0.556 0.618
O: 0.831 0.854 0.920
O: 0.836 0.863 0.092
O: 0.843 0.264 0.267
O: 0.848 0.292 0.728
O: 0.918 0.982 0.306
O: 0.932 0.279 0.891
O: 0.932 0.970 0.702
O: 0.968 0.245 0.094
O: 0.984 0.119 0.507

Computed properties:
E_form (uncorrected) (meV per atom): -1653
Theoretical density (g/cm3): 5.607
Symmetry: P2_12_12_1 (19)

---

Record 7
Compound: Cd2GeSbO
Source: the Alexandria database
Functional: GGA-PBEsol
Structure: relaxed

a b c (Å): 5.528 5.528 3.960
angles (deg): 90.00 90.00 90.00
Fractional coordinates of all 5 atoms:
Cd: 0.000 0.500 0.000
Cd: 0.500 0.000 0.000
Ge: 0.000 0.000 0.500
Sb: 0.500 0.500 0.000
O: 0.500 0.500 0.500

Computed properties:
E_form (uncorrected) (meV per atom): 250
Theoretical density (g/cm3): 5.971
Symmetry: P4/mmm (123)

---

Record 8
Compound: Cd2GeTeOs
Source: the Alexandria database
Functional: GGA-PBEsol
Structure: relaxed

a b c (Å): 4.798 4.798 5.521
angles (deg): 90.00 90.00 90.00
Fractional coordinates of all 5 atoms:
Cd: 0.000 0.500 0.000
Cd: 0.500 0.000 0.000
Ge: 0.000 0.000 0.000
Te: 0.000 0.000 0.500
Os: 0.500 0.500 0.500

Computed properties:
E_form (uncorrected) (meV per atom): 1536
Theoretical density (g/cm3): 8.037
Symmetry: P4/mmm (123)

---

We obtain total magnetic moment values of 0.00 0.00 1.65 0.00 0.00 0.00 0.00 2.30 μB per formula unit for the records listed above, in that order.